The following is a PBE calculation of a relaxed structure of LiMnOs2, from Alexandria via LeMat-Bulk.

Results
Formation energy from the elements   0.2756 eV per atom
Calculated volume   12.32 A^3/atom
DFT total energy   -0.2980 hartree per atom

Lattice parameters (Å, degrees): 5.8200 5.8200 5.8200 90.00 90.00 90.00
Space group Fm-3m (No. 225)
Inequivalent atoms, fractional coordinates:
Li: 0.0000 0.0000 0.0000
Mn: 0.0000 0.0000 0.5000
Os: 0.2500 0.2500 0.2500

***

The following is a PBE calculation of a relaxed structure of LiMnOs2, from Alexandria via LeMat-Bulk.

Results
Formation energy from the elements   0.3395 eV per atom
Calculated volume   13.34 A^3/atom
DFT total energy   -0.2957 hartree per atom

Lattice parameters (Å, degrees): 3.7009 3.7009 3.8959 90.00 90.00 90.00
Space group P4/mmm (No. 123)
Inequivalent atoms, fractional coordinates:
Li: 0.0000 0.0000 0.0000
Mn: 0.5000 0.5000 0.0000
Os: 0.0000 0.5000 0.5000

***

The following is a PBE calculation of a relaxed structure of Li2MnOs, from Alexandria via LeMat-Bulk.

Results
Formation energy from the elements   0.4241 eV per atom
Calculated volume   14.47 A^3/atom
DFT total energy   -0.2070 hartree per atom

Lattice parameters (Å, degrees): 2.5593 2.5593 8.8390 90.00 90.00 90.00
Space group P4/mmm (No. 123)
Inequivalent atoms, fractional coordinates:
Li: 0.0000 0.0000 0.2387
Mn: 0.5000 0.5000 0.5000
Os: 0.5000 0.5000 0.0000

***

The following is a PBE calculation of a relaxed structure of LiMnOs, from Alexandria via LeMat-Bulk.

Results
Formation energy from the elements   0.2214 eV per atom
Calculated volume   12.11 A^3/atom
DFT total energy   -0.2652 hartree per atom

Lattice parameters (Å, degrees): 2.9011 2.9011 8.6340 90.00 90.00 90.00
Space group I4mm (No. 107)
Inequivalent atoms, fractional coordinates:
Li: 0.0000 0.0000 0.0000
Mn: 0.0000 0.0000 0.6682
Os: 0.0000 0.0000 0.3186